Version P
Material: NaLiAgAu
Method: DFT, GGA-PBE
State: optimized geometry

Magnetization   0.00 μB/atom

Geometry as CIF:
```
data_NaLiAgAu
_cell_length_a 4.101
_cell_length_b 2.841
_cell_length_c 13.248
_cell_angle_alpha 90.00
_cell_angle_beta 90.00
_cell_angle_gamma 90.00
_space_group_name_H-M_alt 'A m m 2'
_space_group_IT_number 38
loop_
_space_group_symop_operation_xyz
'x,y,z'
'-x,-y,z'
'-x,y,z'
'x,-y,z'
'x,y+1/2,z+1/2'
'-x,-y+1/2,z+1/2'
'-x,y+1/2,z+1/2'
'x,-y+1/2,z+1/2'
loop_
_atom_site_label
_atom_site_fract_x
_atom_site_fract_y
_atom_site_fract_z
_atom_site_occupancy
Na1 0.000 0.000 0.000 1
Li1 0.000 0.000 0.232 1
Ag1 0.500 0.000 0.356 1
Au1 0.500 0.000 0.648 1
```

=====

Version Q
Material: NaLiAgAu
Method: DFT, GGA-PBE
State: optimized geometry

Magnetization   0.00 μB/atom

Geometry as CIF:
```
data_NaLiAgAu
_cell_length_a 6.686
_cell_length_b 6.686
_cell_length_c 6.686
_cell_angle_alpha 90.00
_cell_angle_beta 90.00
_cell_angle_gamma 90.00
_space_group_name_H-M_alt 'F -4 3 m'
_space_group_IT_number 216
_space_group_name_Hall 'F -4 2 3'
loop_
_atom_site_label
_atom_site_fract_x
_atom_site_fract_y
_atom_site_fract_z
_atom_site_occupancy
Na1 0.000 0.000 0.000 1
Li1 0.250 0.250 0.250 1
Ag1 0.250 0.250 0.750 1
Au1 0.000 0.000 0.500 1
```

=====

Preferred: version Q; penalty for the next structure: 0.031 eV/atom.

=====

Version P
Material: LuAgAu
Method: DFT, GGA-PBE
State: optimized geometry

Magnetization   0.00 μB/atom

Geometry as CIF:
```
data_LuAgAu
_cell_length_a 4.6911
_cell_length_b 4.6911
_cell_length_c 3.3424
_cell_angle_alpha 90.00
_cell_angle_beta 90.00
_cell_angle_gamma 120.00
_space_group_name_H-M_alt 'P -6 m 2'
_space_group_IT_number 187
_space_group_name_Hall 'P -6 2'
loop_
_atom_site_label
_atom_site_fract_x
_atom_site_fract_y
_atom_site_fract_z
_atom_site_occupancy
Lu1 0.0000 0.0000 0.0000 1
Ag1 0.6667 0.3333 0.5000 1
Au1 0.3333 0.6667 0.5000 1
```

=====

Version Q
Material: LuAgAu
Method: DFT, GGA-PBE
State: optimized geometry

Magnetization   0.00 μB/atom

Geometry as CIF:
```
data_LuAgAu
_cell_length_a 3.671
_cell_length_b 3.671
_cell_length_c 9.050
_cell_angle_alpha 90.00
_cell_angle_beta 90.00
_cell_angle_gamma 90.00
_space_group_name_H-M_alt 'I 4 m m'
_space_group_IT_number 107
_space_group_name_Hall 'I 4 -2'
loop_
_atom_site_label
_atom_site_fract_x
_atom_site_fract_y
_atom_site_fract_z
_atom_site_occupancy
Lu1 0.000 0.000 0.000 1
Ag1 0.000 0.000 0.672 1
Au1 0.000 0.000 0.341 1
```

=====

Version R
Material: LuAgAu
Method: DFT, GGA-PBE
State: optimized geometry

Magnetization   0.00 μB/atom

Geometry as CIF:
```
data_LuAgAu
_cell_length_a 6.609
_cell_length_b 6.609
_cell_length_c 6.609
_cell_angle_alpha 90.00
_cell_angle_beta 90.00
_cell_angle_gamma 90.00
_space_group_name_H-M_alt 'F -4 3 m'
_space_group_IT_number 216
_space_group_name_Hall 'F -4 2 3'
loop_
_atom_site_label
_atom_site_fract_x
_atom_site_fract_y
_atom_site_fract_z
_atom_site_occupancy
Lu1 0.000 0.000 0.000 1
Ag1 0.000 0.000 0.500 1
Au1 0.250 0.250 0.250 1
```

=====

Preferred: version Q; penalty for the next structure: 0.135 eV/atom.